Record 1
This record from Alexandria describes a geometry-optimized K2CuSe structure. The functional is PBE.

The structure belongs to space group P4/mmm (No. 123); the cell edges are 3.797, 3.797 and 8.667 Å and the angles 90.00°, 90.00° and 90.00°. Symmetry generates all atoms from K at (0.000, 0.000, 0.225), Cu at (0.500, 0.500, 0.500) and Se at (0.500, 0.500, 0.000).

The calculation puts the formation energy from raw total energies at -14 kJ/mol of atoms. Its crystal system is tetragonal. The value obtained for the electronic total energy is -10.35 eV for the cell shown.

Record 2
This record from Alexandria describes a geometry-optimized K3Cu2Se4 structure. The functional is PBE.

The structure belongs to space group P-1 (No. 2); the cell edges are 4.166, 7.427 and 8.865 Å and the angles 66.42°, 76.43° and 89.94°. Symmetry generates all atoms from K at (0.000, 0.000, 0.000), K at (0.143, 0.737, 0.712), Cu at (0.314, 0.593, 0.370), Se at (0.202, 0.249, 0.598) and Se at (0.468, 0.623, 0.064).

The calculation puts the formation energy from raw total energies at -65 kJ/mol of atoms. Its crystal system is triclinic. The value obtained for the electronic total energy is -31.52 eV for the cell shown.

Record 3
This record from Alexandria describes a geometry-optimized KCu3Se structure. The functional is PBE.

The structure belongs to space group Pm-3m (No. 221); the cell edges are 4.871, 4.871 and 4.871 Å and the angles 90.00°, 90.00° and 90.00°. Symmetry generates all atoms from K at (0.000, 0.000, 0.000), Cu at (0.000, 0.500, 0.500) and Se at (0.500, 0.500, 0.500).

For the energy relative to the lowest polymorph listed for this composition, the calculation gives 0 meV per atom. The calculation puts the formation energy from raw total energies at 35 kJ/mol of atoms. Its crystal system is cubic. The value obtained for the electronic total energy is -15.06 eV for the cell shown.

Record 4
This record from Alexandria describes a geometry-optimized K3Cu4Se4 structure. The functional is PBE.

The structure belongs to space group I-43m (No. 217); the cell edges are 7.914, 7.914 and 7.914 Å and the angles 90.00°, 90.00° and 90.00°. Symmetry generates all atoms from K at (0.000, 0.000, 0.500), Cu at (0.128, 0.128, 0.128) and Se at (0.183, 0.183, 0.817).

The calculation puts the formation energy from raw total energies at -54 kJ/mol of atoms. Its crystal system is cubic. The value obtained for the electronic total energy is -79.51 eV for the cell shown.

Record 5
This record from Alexandria describes a geometry-optimized KCu2Se structure. The functional is PBE.

The structure belongs to space group I4_1/amd (No. 141, origin choice 2); the cell edges are 4.986, 4.986 and 16.881 Å and the angles 90.00°, 90.00° and 90.00°. Symmetry generates all atoms from K at (0.000, 0.250, 0.375), Cu at (0.000, 0.000, 0.000) and Se at (0.000, 0.250, 0.875).

The calculation puts the formation energy from raw total energies at -13 kJ/mol of atoms. Its crystal system is tetragonal. The value obtained for the electronic total energy is -53.26 eV for the cell shown.

Record 6
This record from Alexandria describes a geometry-optimized KCuSe3 structure. The functional is PBE.

The structure belongs to space group R-3c (No. 167, hexagonal axes); the cell edges are 7.9027, 7.9027 and 13.4018 Å and the angles 90.00°, 90.00° and 120.00°. Symmetry generates all atoms from K at (0.0000, 0.0000, 0.2500), Cu at (0.0000, 0.0000, 0.0000) and Se at (0.0000, 0.4982, 0.2500).

For the energy relative to the lowest polymorph listed for this composition, the calculation gives 220 meV per atom. The calculation puts the formation energy from raw total energies at -22 kJ/mol of atoms. Its crystal system is trigonal. The value obtained for the electronic total energy is -100.84 eV for the cell shown.

Record 7
This record from Alexandria describes a geometry-optimized K2CuSiSe4 structure. The functional is PBE.

The structure belongs to space group Fddd (No. 70, origin choice 2); the cell edges are 6.061, 14.028 and 22.254 Å and the angles 90.00°, 90.00° and 90.00°. Symmetry generates all atoms from K at (0.125, 0.125, 0.305), Cu at (0.125, 0.125, 0.125), Si at (0.125, 0.125, 0.625) and Se at (0.106, 0.277, 0.821).

The calculation puts the formation energy from raw total energies at -69 kJ/mol of atoms. Its crystal system is orthorhombic. The value obtained for the electronic total energy is -250.95 eV for the cell shown.

Record 8
This record from Alexandria describes a geometry-optimized KCu2SiSe4 structure. The functional is PBE.

The structure belongs to space group I-42m (No. 121); the cell edges are 6.596, 6.596 and 8.744 Å and the angles 90.00°, 90.00° and 90.00°. Symmetry generates all atoms from K at (0.000, 0.000, 0.000), Cu at (0.000, 0.500, 0.250), Si at (0.000, 0.000, 0.500) and Se at (0.199, 0.199, 0.655).

The calculation puts the formation energy from raw total energies at -44 kJ/mol of atoms. Its crystal system is tetragonal. The value obtained for the electronic total energy is -64.60 eV for the cell shown.

Record 9
This record from Alexandria describes a geometry-optimized KCuSn2Se4 structure. The functional is PBE.

The structure belongs to space group Cmcm (No. 63); the cell edges are 4.201, 13.808 and 14.866 Å and the angles 90.00°, 90.00° and 90.00°. Symmetry generates all atoms from K at (0.000, 0.108, 0.250), Cu at (0.000, 0.165, 0.750), Sn at (0.000, 0.368, 0.057), Se at (0.000, 0.000, 0.000), Se at (0.000, 0.261, 0.608) and Se at (0.000, 0.418, 0.250).

The calculation puts the formation energy from raw total energies at -51 kJ/mol of atoms. Its crystal system is orthorhombic. The value obtained for the electronic total energy is -125.32 eV for the cell shown.

Record 10
This record from Alexandria describes a geometry-optimized K2CuSnSe4 structure. The functional is PBE.

The structure belongs to space group I-42m (No. 121); the cell edges are 8.130, 8.130 and 6.924 Å and the angles 90.00°, 90.00° and 90.00°. Symmetry generates all atoms from K at (0.000, 0.500, 0.000), Cu at (0.000, 0.000, 0.000), Sn at (0.000, 0.000, 0.500) and Se at (0.161, 0.161, 0.759).

The calculation puts the formation energy from raw total energies at -61 kJ/mol of atoms. Its crystal system is tetragonal. The value obtained for the electronic total energy is -58.59 eV for the cell shown.

Record 11
This record from Alexandria describes a geometry-optimized K2TaCuSe4 structure. The functional is PBE.

The structure belongs to space group Fddd (No. 70, origin choice 2); the cell edges are 5.723, 13.902 and 24.637 Å and the angles 90.00°, 90.00° and 90.00°. Symmetry generates all atoms from K at (0.125, 0.125, 0.305), Ta at (0.125, 0.125, 0.625), Cu at (0.125, 0.125, 0.125) and Se at (0.121, 0.273, 0.819).

For the energy relative to the lowest polymorph listed for this composition, the calculation gives 10 meV per atom. The calculation puts the formation energy from raw total energies at -92 kJ/mol of atoms. Its crystal system is orthorhombic. The value obtained for the electronic total energy is -317.44 eV for the cell shown.

Record 12
This record from Alexandria describes a geometry-optimized K2TaCuSe4 structure. The functional is PBE.

The structure belongs to space group Fddd (No. 70, origin choice 2); the cell edges are 5.776, 13.829 and 24.475 Å and the angles 90.00°, 90.00° and 90.00°. Symmetry generates all atoms from K at (0.125, 0.125, 0.305), Ta at (0.125, 0.125, 0.125), Cu at (0.125, 0.125, 0.625) and Se at (0.118, 0.273, 0.432).

For the energy relative to the lowest polymorph listed for this composition, the calculation gives 0 meV per atom. The calculation puts the formation energy from raw total energies at -93 kJ/mol of atoms. Its crystal system is orthorhombic. The value obtained for the electronic total energy is -318.09 eV for the cell shown.